1.
{
  "formula": "RbCuSCl2",
  "functional": "GGA-PBE",
  "state": "optimized geometry",
  "cell": [[5.680, 0.000, 0.000], [0.000, 4.196, 0.000], [0.000, 0.000, 5.680]],
  "species": ["Rb", "Cl", "Cl", "S", "Cu"],
  "frac_coords": [[0.500, 0.500, 0.500], [0.500, 0.000, 0.000], [0.000, 0.000, 0.500], [0.000, 0.000, 0.000], [0.000, 0.500, 0.000]],
  "vol_a3_per_atom": 27.08,
  "e_tot_ev_per_cell": -15.86,
  "raw_formation_energy_ev_per_atom": -0.5959,
  "relative_energy_mev_per_atom": 80
}

2.
{
  "formula": "Ac2CdNi2",
  "functional": "GGA-PBE",
  "state": "optimized geometry",
  "cell": [[-3.539, -0.804, -1.908], [-1.225, -2.296, 3.241], [-2.468, 7.235, 1.527]],
  "species": ["Ni", "Ni", "Cd", "Ac", "Ac"],
  "frac_coords": [[0.000, 0.206, 0.413], [0.000, 0.794, 0.587], [0.000, 0.000, 0.000], [0.500, 0.364, 0.728], [0.500, 0.636, 0.272]],
  "vol_a3_per_atom": 25.61,
  "e_tot_ev_per_cell": -22.29,
  "formation_energy_ev_per_atom": -0.3193,
  "relative_energy_mev_per_atom": 0
}

3.
{
  "formula": "EuBiSb2",
  "functional": "GGA-PBE",
  "state": "optimized geometry",
  "cell": [[5.362, 0.000, 0.000], [2.681, 4.644, 0.000], [2.681, 1.548, 5.027]],
  "species": ["Bi", "Eu", "Sb", "Sb"],
  "frac_coords": [[0.500, 0.500, 0.500], [0.000, 0.000, 0.000], [0.229, 0.229, 0.313], [0.771, 0.771, 0.687]],
  "vol_a3_per_atom": 31.29,
  "e_tot_ev_per_cell": -23.71,
  "raw_formation_energy_ev_per_atom": -0.3286,
  "relative_energy_mev_per_atom": 141
}

4.
{
  "formula": "CaAlRh",
  "functional": "GGA-PBE",
  "state": "optimized geometry",
  "cell": [[4.899, -0.224, -0.178], [1.271, 7.197, -0.008], [1.266, 1.466, 7.047]],
  "species": ["Rh", "Rh", "Rh", "Rh", "Al", "Al", "Al", "Al", "Ca", "Ca", "Ca", "Ca"],
  "frac_coords": [[0.860, 0.065, 0.815], [0.140, 0.435, 0.685], [0.140, 0.935, 0.185], [0.860, 0.565, 0.315], [0.664, 0.373, 0.623], [0.336, 0.627, 0.377], [0.664, 0.873, 0.123], [0.336, 0.127, 0.877], [0.778, 0.318, 0.068], [0.222, 0.182, 0.432], [0.222, 0.682, 0.932], [0.778, 0.818, 0.568]],
  "vol_a3_per_atom": 20.98,
  "e_tot_ev_per_cell": -60.42,
  "formation_energy_ev_per_atom": -0.6698
}

5.
{
  "formula": "La2MgHgTe5",
  "functional": "GGA-PBE",
  "state": "optimized geometry",
  "cell": [[4.460, 0.000, 0.000], [-2.230, 9.585, 0.000], [0.000, 0.000, 13.326]],
  "species": ["Te", "Te", "Te", "Te", "Te", "Te", "Te", "Te", "Te", "Te", "Hg", "Hg", "La", "La", "La", "La", "Mg", "Mg"],
  "frac_coords": [[0.496, 0.992, 0.771], [0.713, 0.426, 0.162], [0.354, 0.709, 0.999], [0.306, 0.612, 0.348], [0.646, 0.291, 0.499], [0.047, 0.093, 0.082], [0.694, 0.388, 0.848], [0.504, 0.008, 0.271], [0.953, 0.907, 0.582], [0.287, 0.574, 0.662], [0.555, 0.110, 0.959], [0.445, 0.890, 0.459], [0.133, 0.267, 0.304], [0.117, 0.233, 0.688], [0.883, 0.767, 0.188], [0.867, 0.733, 0.804], [0.204, 0.407, 0.011], [0.796, 0.593, 0.511]],
  "vol_a3_per_atom": 31.65,
  "e_tot_ev_per_cell": -74.16,
  "raw_formation_energy_ev_per_atom": -1.0688
}

6.
{
  "formula": "Hf2GaSnC",
  "functional": "GGA-PBE",
  "state": "optimized geometry",
  "cell": [[5.013, 0.000, 0.000], [0.000, 4.831, 0.000], [0.000, 0.000, 5.013]],
  "species": ["Hf", "Hf", "Ga", "Sn", "C"],
  "frac_coords": [[0.000, 0.000, 0.500], [0.500, 0.000, 0.000], [0.000, 0.000, 0.000], [0.000, 0.500, 0.000], [0.500, 0.500, 0.500]],
  "vol_a3_per_atom": 24.28,
  "e_tot_ev_per_cell": -26.72,
  "formation_energy_ev_per_atom": 1.8872
}